Entry 1:
KCdBrCl2: optimized geometry, PBE.

Results
Volume (Å³ per atom): 30.48
Formation energy without anion corrections (eV/atom): -1.341
Relative energy among the computed polymorphs (meV/atom): 0.0
Total energy (eV/atom): -2.8170
Space-group type: No. 63

Cell: 4.378 8.491 8.488 Å, 90.00 90.00 104.94°
Atoms (fractional coordinates):
Cl  0.150  0.300  0.992
Cl  0.150  0.300  0.508
Cd  0.000  0.000  0.000
Br  0.503  0.007  0.250
Cd  0.000  0.000  0.500
K  0.710  0.420  0.750
Br  0.497  0.993  0.750
Cl  0.850  0.700  0.492
K  0.290  0.580  0.250
Cl  0.850  0.700  0.008

=====

Entry 2:
KCdBrCl2: optimized geometry, PBE.

Results
Volume (Å³ per atom): 30.60
Formation energy without anion corrections (eV/atom): -1.319
Relative energy among the computed polymorphs (meV/atom): 22.1
Total energy (eV/atom): -2.7949
Space-group type: No. 123

Cell: 5.246 5.246 5.561 Å, 90.00 90.00 90.00°
Atoms (fractional coordinates):
Cl  0.500  0.000  0.000
Cd  0.000  0.000  0.000
Br  0.000  0.000  0.500
Cl  0.000  0.500  0.000
K  0.500  0.500  0.500

=====

Computed values of total magnetization (unit: μB/atom) for the preceding records, in sequence: 0.00; 0.00.